Ho5ErScIn2 | PBE | relaxed

Properties
M_tot ... 0.00 μB per formula unit
Energy relative to the elements ... 0.0210 eV/atom

Cell lengths 10.8213, 10.8213, 10.8213 Å; angles 138.95, 138.95, 59.44 degrees
Element x y z (fractional)
Ho: 0.0000 0.0000 0.0000
Ho: 0.0733 0.5733 0.9019
Ho: 0.1714 0.0733 0.5000
Ho: 0.3286 0.8286 0.9019
Ho: 0.4267 0.3286 0.5000
Ho: 0.5000 0.5000 0.0000
Ho: 0.5733 0.6714 0.5000
Ho: 0.6714 0.1714 0.0981
Ho: 0.8286 0.9267 0.5000
Ho: 0.9267 0.4267 0.0981
Er: 0.2500 0.2500 0.0000
Er: 0.7500 0.7500 0.0000
Sc: 0.2500 0.7500 0.5000
Sc: 0.7500 0.2500 0.5000
In: 0.1241 0.3759 0.5000
In: 0.3759 0.8759 0.2519
In: 0.6241 0.1241 0.7481
In: 0.8759 0.6241 0.5000